Below is an optimized crystal structure of Ba2AsSe4, with properties calculated at the PBE level.

Output
* ΔE_f (raw): -1188 meV/atom
* size of the total moment: 0.00 μB/cell
* E_tot: -4.393 eV/atom
* DOS at the Fermi energy: 4.35 states/eV/cell

abc: 6.915 7.100 9.671
angles: 90.00 110.87 90.00
Space group P2_1/m (No. 11)
One atom of each set of equivalent atoms:
1 Ba 0.226 0.250 0.055
2 Ba 0.266 0.250 0.569
3 As 0.220 0.750 0.799
4 Se 0.015 0.511 0.262
5 Se 0.360 0.750 0.084
6 Se 0.374 0.750 0.599